<1>
VASP calculation (PBE) on AsS after structural relaxation.

abc: 3.3734 18.0407 5.6790
angles: 90.00 90.00 90.00
Sites, in units of the cell vectors:
As: 0.2500 0.1047 0.0076
As: 0.2500 0.3953 0.0076
As: 0.2500 0.7500 0.7882
As: 0.7500 0.2500 0.2118
As: 0.7500 0.6047 0.9924
As: 0.7500 0.8953 0.9924
S: 0.2500 0.2500 0.9292
S: 0.2500 0.5672 0.2384
S: 0.2500 0.9328 0.2384
S: 0.7500 0.0672 0.7616
S: 0.7500 0.4328 0.7616
S: 0.7500 0.7500 0.0707

---

<2>
VASP calculation (PBE) on AsS after structural relaxation.

abc: 3.4135 3.3867 8.6060
angles: 90.00 90.35 90.00
Sites, in units of the cell vectors:
As: 0.2479 0.2500 0.3783
As: 0.7521 0.7500 0.6217
S: 0.2452 0.7500 0.2010
S: 0.7548 0.2500 0.7990

---

<3>
VASP calculation (PBE) on AsS after structural relaxation.

abc: 8.1241 8.1241 8.1241
angles: 90.00 90.00 90.00
Sites, in units of the cell vectors:
As: 0.1493 0.1493 0.8507
As: 0.1493 0.8507 0.1493
As: 0.3507 0.3507 0.3507
As: 0.3507 0.6493 0.6493
As: 0.6493 0.3507 0.6493
As: 0.6493 0.6493 0.3507
As: 0.8507 0.1493 0.1493
As: 0.8507 0.8507 0.8507
S: 0.2012 0.2012 0.2012
S: 0.2012 0.7988 0.7988
S: 0.2988 0.2988 0.7012
S: 0.2988 0.7012 0.2988
S: 0.7012 0.2988 0.2988
S: 0.7012 0.7012 0.7012
S: 0.7988 0.2012 0.7988
S: 0.7988 0.7988 0.2012

---

The structure with the greatest stability is <2>.

---

<1>
VASP calculation (PBE) on Sb3AsS6 after structural relaxation.

abc: 3.7909 11.0278 12.3387
angles: 90.00 90.00 90.00
Sites, in units of the cell vectors:
Sb: 0.0000 0.0857 0.0000
Sb: 0.0000 0.2845 0.6795
Sb: 0.0000 0.7155 0.1795
Sb: 0.0000 0.9143 0.5000
Sb: 0.5000 0.2252 0.4022
Sb: 0.5000 0.7748 0.9022
As: 0.5000 0.4269 0.0930
As: 0.5000 0.5731 0.5930
S: 0.0000 0.0666 0.3428
S: 0.0000 0.3107 0.1609
S: 0.0000 0.3871 0.5009
S: 0.0000 0.6129 0.0009
S: 0.0000 0.6893 0.6609
S: 0.0000 0.9334 0.8428
S: 0.5000 0.1288 0.5847
S: 0.5000 0.2015 0.9102
S: 0.5000 0.4469 0.7417
S: 0.5000 0.5531 0.2417
S: 0.5000 0.7985 0.4102
S: 0.5000 0.8712 0.0847

---

<2>
VASP calculation (PBE) on Sb3AsS6 after structural relaxation.

abc: 11.9813 3.8119 12.6165
angles: 90.00 106.98 90.00
Sites, in units of the cell vectors:
Sb: 0.0627 0.2500 0.1385
Sb: 0.1416 0.7500 0.5484
Sb: 0.4352 0.2500 0.6456
Sb: 0.5648 0.7500 0.3544
Sb: 0.8584 0.2500 0.4516
Sb: 0.9373 0.7500 0.8615
As: 0.3139 0.7500 0.0662
As: 0.6861 0.2500 0.9338
S: 0.0436 0.2500 0.3880
S: 0.1088 0.2500 0.9566
S: 0.2329 0.7500 0.2097
S: 0.2518 0.2500 0.7018
S: 0.3738 0.7500 0.5056
S: 0.4423 0.2500 0.1288
S: 0.5577 0.7500 0.8712
S: 0.6262 0.2500 0.4944
S: 0.7482 0.7500 0.2982
S: 0.7671 0.2500 0.7903
S: 0.8912 0.7500 0.0434
S: 0.9564 0.7500 0.6120

---

<3>
VASP calculation (PBE) on Sb3AsS6 after structural relaxation.

abc: 9.4582 9.4582 7.1279
angles: 90.00 90.00 111.42
Sites, in units of the cell vectors:
Sb: 0.1048 0.8952 0.5000
Sb: 0.1874 0.4352 0.6646
Sb: 0.4352 0.1874 0.1646
Sb: 0.5648 0.8126 0.6646
Sb: 0.8126 0.5648 0.1646
Sb: 0.8952 0.1048 0.0000
As: 0.3277 0.6723 0.0712
As: 0.6723 0.3277 0.5712
S: 0.1008 0.5722 0.9173
S: 0.1449 0.1917 0.8362
S: 0.1917 0.1449 0.3362
S: 0.2530 0.7470 0.3563
S: 0.4278 0.8992 0.9173
S: 0.4606 0.5394 0.7711
S: 0.5394 0.4606 0.2711
S: 0.5722 0.1008 0.4173
S: 0.7470 0.2530 0.8563
S: 0.8083 0.8551 0.8362
S: 0.8551 0.8083 0.3362
S: 0.8992 0.4278 0.4173

---

The structure with the greatest stability is <1>.

---

<1>
VASP calculation (PBE) on SbTe2AsS after structural relaxation.

abc: 5.4036 5.4036 5.3873
angles: 90.00 90.00 90.00
Sites, in units of the cell vectors:
Sb: 0.0000 0.0000 0.0000
Te: 0.0000 0.5000 0.5000
Te: 0.5000 0.0000 0.5000
As: 0.0000 0.0000 0.5000
S: 0.5000 0.5000 0.0000

---

<2>
VASP calculation (PBE) on SbTe2AsS after structural relaxation.

abc: 5.1753 5.1753 5.2968
angles: 90.00 90.00 90.00
Sites, in units of the cell vectors:
Sb: 0.0000 0.0000 0.0000
Te: 0.0000 0.5000 0.5000
Te: 0.5000 0.0000 0.5000
As: 0.5000 0.5000 0.0000
S: 0.0000 0.0000 0.5000

---

The structure with the greatest stability is <2>.

---

<1>
VASP calculation (PBE) on Sc3AsS after structural relaxation.

abc: 7.1182 3.7953 14.2116
angles: 90.00 90.00 90.00
Sites, in units of the cell vectors:
Sc: 0.0015 0.2500 0.1024
Sc: 0.1406 0.2500 0.5609
Sc: 0.1648 0.7500 0.2782
Sc: 0.3352 0.2500 0.7782
Sc: 0.3594 0.7500 0.0609
Sc: 0.4985 0.7500 0.6024
Sc: 0.5015 0.2500 0.3976
Sc: 0.6406 0.2500 0.9391
Sc: 0.6648 0.7500 0.2218
Sc: 0.8352 0.2500 0.7218
Sc: 0.8594 0.7500 0.4391
Sc: 0.9985 0.7500 0.8976
As: 0.1189 0.7500 0.7019
As: 0.3811 0.2500 0.2019
As: 0.6189 0.7500 0.7981
As: 0.8811 0.2500 0.2981
S: 0.2398 0.2500 0.9531
S: 0.2602 0.7500 0.4531
S: 0.7398 0.2500 0.5469
S: 0.7602 0.7500 0.0469

---

<2>
VASP calculation (PBE) on Sc3AsS after structural relaxation.

abc: 4.7644 4.7644 4.7644
angles: 90.00 90.00 90.00
Sites, in units of the cell vectors:
Sc: 0.0000 0.0000 0.5000
Sc: 0.0000 0.5000 0.0000
Sc: 0.5000 0.0000 0.0000
As: 0.5000 0.5000 0.5000
S: 0.0000 0.0000 0.0000

---

The structure with the greatest stability is <1>.